Below is a relaxed KBr2 crystal, with properties calculated at the GGA-PBE level.

Total DFT energy (no corrections) = -2.2136 eV per atom
DOS(E_F) = 0.87 states/eV/f.u.
Formation energy from raw total energies = -2.2 eV/f.u.
Magnetic moment = 2.05 μB/cell

abc: 6.726 6.726 6.726
angles: 60.00 60.00 60.00
Sites, in units of the cell vectors:
K 0.125 0.125 0.125
K 0.875 0.875 0.875
Br 0.000 0.500 0.500
Br 0.500 0.000 0.500
Br 0.500 0.500 0.000
Br 0.500 0.500 0.500



Below is a relaxed LuGeRh2 crystal, with properties calculated at the GGA-PBE level.

Total DFT energy (no corrections) = -6.7737 eV per atom
DOS(E_F) = 1.31 states/eV/f.u.
Magnetic moment = 0.00 μB/cell
Formation energy from the elements = -0.81 eV per atom

abc: 4.275 4.275 3.575
angles: 90.00 90.00 90.00
Sites, in units of the cell vectors:
Lu 0.000 0.000 0.000
Ge 0.500 0.500 0.000
Rh 0.000 0.500 0.500
Rh 0.500 0.000 0.500



Below is a relaxed Dy8CuNi2 crystal, with properties calculated at the GGA-PBE level.

Total DFT energy (no corrections) = -4.8430 eV per atom
DOS(E_F) = 14.33 states/eV/f.u.
Magnetic moment = 0.00 μB/cell
Formation energy from the elements = -0.07 eV per atom

abc: 7.512 7.512 5.849
angles: 99.24 99.24 113.61
Sites, in units of the cell vectors:
Dy 0.000 0.000 0.000
Dy 0.029 0.290 0.594
Dy 0.148 0.595 0.186
Dy 0.290 0.029 0.594
Dy 0.447 0.709 0.793
Dy 0.595 0.148 0.186
Dy 0.709 0.447 0.793
Dy 0.736 0.736 0.371
Cu 0.369 0.369 0.029
Ni 0.060 0.676 0.687
Ni 0.676 0.060 0.687



Below is a relaxed PuU2NbC4 crystal, with properties calculated at the GGA-PBE level.

Total DFT energy (no corrections) = -10.7040 eV per atom
DOS(E_F) = 9.72 states/eV/f.u.
Magnetic moment = 4.27 μB/cell
Formation energy from the elements = -0.22 eV per atom

abc: 5.926 3.402 5.945
angles: 90.00 109.38 90.00
Sites, in units of the cell vectors:
Pu 0.000 0.000 0.000
U 0.500 0.000 0.500
U 0.500 0.500 0.000
Nb 0.000 0.500 0.500
C 0.239 0.000 0.734
C 0.247 0.500 0.271
C 0.753 0.500 0.729
C 0.761 0.000 0.266



Below is a relaxed PmScHgRu crystal, with properties calculated at the GGA-PBE level.

Total DFT energy (no corrections) = -5.4492 eV per atom
DOS(E_F) = 4.23 states/eV/f.u.
Magnetic moment = 0.00 μB/cell
Formation energy from the elements = -0.28 eV per atom

abc: 4.972 4.972 4.972
angles: 60.00 60.00 60.00
Sites, in units of the cell vectors:
Pm 0.000 0.000 0.000
Sc 0.500 0.500 0.500
Hg 0.250 0.250 0.250
Ru 0.750 0.750 0.750



Below is a relaxed AgSb2TeOs crystal, with properties calculated at the GGA-PBE level.

Total DFT energy (no corrections) = -3.4032 eV per atom
DOS(E_F) = 7.10 states/eV/f.u.
Formation energy from raw total energies = 8.5 eV/f.u.
Magnetic moment = 0.00 μB/cell

abc: 5.161 5.161 5.235
angles: 90.00 90.00 90.00
Sites, in units of the cell vectors:
Ag 0.000 0.000 0.000
Sb 0.000 0.500 0.000
Sb 0.500 0.000 0.000
Te 0.000 0.000 0.500
Os 0.500 0.500 0.500



Below is a relaxed Si2CO crystal, with properties calculated at the GGA-PBE level.

Total DFT energy (no corrections) = -6.3570 eV per atom
DOS(E_F) = 0.65 states/eV/f.u.
Formation energy from raw total energies = -0.4 eV/f.u.
Magnetic moment = 0.00 μB/cell

abc: 5.462 5.462 5.462
angles: 130.78 130.78 72.16
Sites, in units of the cell vectors:
Si 0.103 0.625 0.978
Si 0.375 0.353 0.478
Si 0.647 0.125 0.022
Si 0.875 0.897 0.522
C 0.000 0.000 0.000
C 0.750 0.250 0.500
O 0.250 0.750 0.500
O 0.500 0.500 0.000



Below is a relaxed LiPmSe2O6 crystal, with properties calculated at the GGA-PBE level.

Total DFT energy (no corrections) = -6.0255 eV per atom
DOS(E_F) = 0.00 states/eV/f.u.
Formation energy from raw total energies = -16.9 eV/f.u.
Magnetic moment = 0.00 μB/cell

abc: 6.630 6.630 6.630
angles: 47.31 47.31 47.31
Sites, in units of the cell vectors:
Li 0.000 0.000 0.000
Pm 0.500 0.500 0.500
Se 0.288 0.288 0.288
Se 0.712 0.712 0.712
O 0.042 0.768 0.447
O 0.232 0.553 0.958
O 0.447 0.042 0.768
O 0.553 0.958 0.232
O 0.768 0.447 0.042
O 0.958 0.232 0.553